No. 1
# CaMg2Ag2

CaMg2Ag2 at its PBEsol-relaxed geometry (SCAN, Alexandria).

Summary:
Formation energy: -0.22 eV/atom
Calculated volume: 212.44 Å³ per cell

Unit cell a=8.055 b=8.055 c=3.274 alpha=90.00 beta=90.00 gamma=90.00
Space group P4/mbm (No. 127)
Unique sites:
1 Ca 0.000 0.000 0.000
2 Mg 0.152 0.348 0.500
3 Ag 0.139 0.639 0.000

***

No. 2
# GaTeI2Cl

GaTeI2Cl at its PBEsol-relaxed geometry (SCAN, Alexandria).

Summary:
Raw formation energy: 425 meV per atom
Calculated volume: 170.08 Å³ per cell

Unit cell a=5.687 b=5.687 c=5.258 alpha=90.00 beta=90.00 gamma=90.00
Space group P4/mmm (No. 123)
Unique sites:
1 Ga 0.000 0.000 0.000
2 Te 0.500 0.500 0.000
3 I 0.000 0.500 0.500
4 Cl 0.500 0.500 0.500

***

No. 3
# Li3TaBr

Li3TaBr at its PBEsol-relaxed geometry (SCAN, Alexandria).

Summary:
Raw formation energy: 534 meV per atom
Calculated volume: 109.69 Å³ per cell

Unit cell a=4.787 b=4.787 c=4.787 alpha=90.00 beta=90.00 gamma=90.00
Space group Pm-3m (No. 221)
Unique sites:
1 Li 0.000 0.000 0.500
2 Ta 0.500 0.500 0.500
3 Br 0.000 0.000 0.000

***

No. 4
# LiFeP4O12

LiFeP4O12 at its PBEsol-relaxed geometry (SCAN, Alexandria).

Summary:
Raw formation energy: -2299 meV per atom
Calculated volume: 907.50 Å³ per cell

Unit cell a=15.297 b=7.303 c=9.606 alpha=90.00 beta=122.25 gamma=90.00
Space group C2/c (No. 15)
Unique sites:
1 Li 0.000 0.199 0.250
2 Fe 0.000 0.359 0.750
3 P 0.130 0.079 0.638
4 P 0.135 0.331 0.161
5 O 0.067 0.420 0.209
6 O 0.076 0.083 0.457
7 O 0.095 0.203 0.725
8 O 0.111 0.356 0.989
9 O 0.137 0.122 0.210
10 O 0.250 0.111 0.709

***

No. 5
# NiH10Se2O10

NiH10Se2O10 at its PBEsol-relaxed geometry (SCAN, Alexandria).

Summary:
Calculated volume: 906.61 Å³ per cell

Unit cell a=14.312 b=7.346 c=10.871 alpha=90.00 beta=127.51 gamma=90.00
Space group C2/c (No. 15)
Unique sites:
1 Ni 0.000 0.041 0.250
2 H 0.062 0.388 0.338
3 H 0.065 0.309 0.836
4 H 0.176 0.423 0.064
5 H 0.178 0.221 0.220
6 H 0.231 0.486 0.978
7 Se 0.131 0.134 0.607
8 O 0.000 0.230 0.750
9 O 0.000 0.309 0.250
10 O 0.105 0.053 0.178
11 O 0.145 0.039 0.477
12 O 0.154 0.460 0.961
13 O 0.216 0.349 0.232

***

No. 6
# FeAsI2O

FeAsI2O at its PBEsol-relaxed geometry (SCAN, Alexandria).

Summary:
Raw formation energy: 216 meV per atom
Calculated volume: 118.52 Å³ per cell

Unit cell a=5.631 b=5.631 c=3.737 alpha=90.00 beta=90.00 gamma=90.00
Space group P4/mmm (No. 123)
Unique sites:
1 Fe 0.000 0.000 0.000
2 As 0.500 0.500 0.500
3 I 0.000 0.500 0.500
4 O 0.500 0.500 0.000

***

No. 7
# SrZnAs

SrZnAs at its PBEsol-relaxed geometry (SCAN, Alexandria).

Summary:
Formation energy: -0.40 eV/atom
Calculated volume: 137.64 Å³ per cell

Unit cell a=3.488 b=3.692 c=10.690 alpha=90.00 beta=90.00 gamma=90.00
Space group Imm2 (No. 44)
Unique sites:
1 Sr 0.000 0.000 0.000
2 Zn 0.000 0.000 0.300
3 As 0.000 0.000 0.699

***

No. 8
# CoIr2Cl

CoIr2Cl at its PBEsol-relaxed geometry (SCAN, Alexandria).

Summary:
Raw formation energy: 484 meV per atom
Calculated volume: 56.64 Å³ per cell

Unit cell a=2.739 b=2.739 c=7.548 alpha=90.00 beta=90.00 gamma=90.00
Space group P4mm (No. 99)
Unique sites:
1 Co 0.000 0.000 0.000
2 Ir 0.000 0.000 0.471
3 Ir 0.500 0.500 0.233
4 Cl 0.500 0.500 0.799

***

No. 9
# BeRe3

BeRe3 at its PBEsol-relaxed geometry (SCAN, Alexandria).

Summary:
Formation energy: 0.15 eV/atom
Calculated volume: 107.87 Å³ per cell

Unit cell a=3.737 b=3.737 c=7.725 alpha=90.00 beta=90.00 gamma=90.00
Space group I4/mmm (No. 139)
Unique sites:
1 Be 0.000 0.000 0.000
2 Re 0.000 0.000 0.500
3 Re 0.000 0.500 0.250

***

No. 10
# BaTc2Ir

BaTc2Ir at its PBEsol-relaxed geometry (SCAN, Alexandria).

Summary:
Formation energy: 1.36 eV/atom
Calculated volume: 70.15 Å³ per cell

Unit cell a=4.847 b=4.847 c=2.987 alpha=90.00 beta=90.00 gamma=90.00
Space group P4/mmm (No. 123)
Unique sites:
1 Ba 0.000 0.000 0.000
2 Tc 0.000 0.500 0.500
3 Ir 0.500 0.500 0.000

***

No. 11
# LiCuNi2

LiCuNi2 at its PBEsol-relaxed geometry (SCAN, Alexandria).

Summary:
Formation energy: 0.05 eV/atom
Calculated volume: 85.91 Å³ per cell

Unit cell a=8.244 b=2.446 c=4.317 alpha=90.00 beta=99.20 gamma=90.00
Space group Cm (No. 8)
Unique sites:
1 Li 0.000 0.000 0.000
2 Cu 0.256 0.500 0.232
3 Ni 0.001 0.500 0.508
4 Ni 0.243 0.000 0.719

***

No. 12
# ZnPtPb2

ZnPtPb2 at its PBEsol-relaxed geometry (SCAN, Alexandria).

Summary:
Formation energy: 0.07 eV/atom
Calculated volume: 173.00 Å³ per cell

Unit cell a=3.291 b=5.129 c=10.247 alpha=90.00 beta=90.00 gamma=90.00
Space group Imm2 (No. 44)
Unique sites:
1 Zn 0.000 0.000 0.000
2 Pt 0.000 0.500 0.312
3 Pb 0.000 0.000 0.569
4 Pb 0.000 0.500 0.776

***

Mass density
In order: 4.8; 4.8; 4.3; 2.8; 2.8; 5.6; 5.5; 14.0; 17.5; 12.4; 7.3; 13.0
Unit: g cm⁻³
Final energy
In order: -16.693; -26.587; -18.109; -9.904; -7.698; -23.391; -19.062; -41.386; -54.260; -43.835; -12.438; -58.748
Unit: eV/atom